Here is LaCuHg5 after structural relaxation from Alexandria. Energies are from PBE.

a b c (Å): 4.825 4.825 7.540
angles (deg): 90.00 90.00 90.00
Atoms (fractional coordinates):
La (0.000, 0.000, 0.000)
Cu (0.000, 0.000, 0.500)
Hg (0.000, 0.500, 0.303)
Hg (0.000, 0.500, 0.697)
Hg (0.500, 0.000, 0.303)
Hg (0.500, 0.000, 0.697)
Hg (0.500, 0.500, 0.000)

ΔH_f (0 K) in eV per atom: -0.207
Crystal system: tetragonal
Total magnetic moment in μB per cell: 0.00
Space-group type: P4/mmm (123)

Here is Na6MgO4 after structural relaxation from Alexandria. Energies are from PBE.

a b c (Å): 7.483 7.483 5.523
angles (deg): 90.00 90.00 90.00
Atoms (fractional coordinates):
Na (0.038, 0.538, 0.250)
Na (0.038, 0.962, 0.250)
Na (0.250, 0.250, 0.159)
Na (0.250, 0.250, 0.659)
Na (0.462, 0.538, 0.250)
Na (0.462, 0.962, 0.250)
Na (0.538, 0.038, 0.750)
Na (0.538, 0.462, 0.750)
Na (0.750, 0.750, 0.341)
Na (0.750, 0.750, 0.841)
Na (0.962, 0.038, 0.750)
Na (0.962, 0.462, 0.750)
Mg (0.250, 0.750, 0.750)
Mg (0.750, 0.250, 0.250)
O (0.008, 0.750, 0.568)
O (0.250, 0.508, 0.932)
O (0.250, 0.992, 0.932)
O (0.492, 0.750, 0.568)
O (0.508, 0.250, 0.432)
O (0.750, 0.008, 0.068)
O (0.750, 0.492, 0.068)
O (0.992, 0.250, 0.432)

Crystal system: tetragonal
Total magnetic moment in μB per cell: 0.31
Space-group type: P4_2/nmc (137)
Energy relative to the elements, uncorrected in eV per atom: -1.461

Here is ErTmSb2 after structural relaxation from Alexandria. Energies are from PBE.

a b c (Å): 4.316 4.316 22.020
angles (deg): 90.00 90.00 120.00
Atoms (fractional coordinates):
Er (0.000, 0.000, 0.000)
Er (0.333, 0.667, 0.667)
Er (0.667, 0.333, 0.333)
Tm (0.000, 0.000, 0.830)
Tm (0.333, 0.667, 0.496)
Tm (0.667, 0.333, 0.163)
Sb (0.000, 0.000, 0.413)
Sb (0.000, 0.000, 0.582)
Sb (0.333, 0.667, 0.080)
Sb (0.333, 0.667, 0.249)
Sb (0.667, 0.333, 0.747)
Sb (0.667, 0.333, 0.916)

Crystal system: trigonal
Total magnetic moment in μB per cell: 0.00
Space-group type: R3m (160)
Energy relative to the elements, uncorrected in eV per atom: -0.969
Excess energy over the best structure of this formula in the dataset in eV/f.u.: 0.45

Here is Sc4GaAuN after structural relaxation from Alexandria. Energies are from PBE.

a b c (Å): 7.582 7.582 6.181
angles (deg): 90.00 90.00 131.76
Atoms (fractional coordinates):
Sc (0.000, 0.500, 0.000)
Sc (0.000, 0.500, 0.500)
Sc (0.080, 0.920, 0.750)
Sc (0.418, 0.582, 0.750)
Sc (0.500, 0.000, 0.000)
Sc (0.500, 0.000, 0.500)
Sc (0.582, 0.418, 0.250)
Sc (0.920, 0.080, 0.250)
Ga (0.381, 0.619, 0.250)
Ga (0.619, 0.381, 0.750)
Au (0.115, 0.885, 0.250)
Au (0.885, 0.115, 0.750)
N (0.251, 0.749, 0.750)
N (0.749, 0.251, 0.250)

Crystal system: orthorhombic
Total magnetic moment in μB per cell: 0.00
Space-group type: Cmcm (63)
Energy relative to the elements, uncorrected in eV per atom: -0.927

Here is Pr2Nd3TmSe6 after structural relaxation from Alexandria. Energies are from PBE.

a b c (Å): 9.398 9.398 8.477
angles (deg): 102.65 102.65 25.72
Atoms (fractional coordinates):
Pr (0.169, 0.169, 0.337)
Pr (0.831, 0.831, 0.663)
Nd (0.172, 0.172, 0.835)
Nd (0.500, 0.500, 0.500)
Nd (0.828, 0.828, 0.165)
Tm (0.500, 0.500, 0.000)
Se (0.002, 0.002, 0.765)
Se (0.336, 0.336, 0.415)
Se (0.341, 0.341, 0.922)
Se (0.659, 0.659, 0.078)
Se (0.664, 0.664, 0.585)
Se (0.998, 0.998, 0.235)

Crystal system: monoclinic
Total magnetic moment in μB per cell: 0.00
Space-group type: C2/m (12)
Energy relative to the elements, uncorrected in eV per atom: -1.809

Here is PrBi2O4 after structural relaxation from Alexandria. Energies are from PBE.

a b c (Å): 7.204 7.200 7.193
angles (deg): 60.07 60.01 59.92
Atoms (fractional coordinates):
Pr (0.125, 0.125, 0.125)
Pr (0.875, 0.875, 0.875)
Bi (0.000, 0.500, 0.500)
Bi (0.500, 0.000, 0.500)
Bi (0.500, 0.500, 0.000)
Bi (0.500, 0.500, 0.500)
O (0.257, 0.258, 0.727)
O (0.257, 0.727, 0.258)
O (0.258, 0.257, 0.257)
O (0.273, 0.743, 0.743)
O (0.727, 0.257, 0.257)
O (0.742, 0.743, 0.743)
O (0.743, 0.273, 0.742)
O (0.743, 0.742, 0.273)

Crystal system: orthorhombic
Total magnetic moment in μB per cell: 0.00
Space-group type: Fddd (70)
Energy relative to the elements, uncorrected in eV per atom: -1.630

Here is Ga2Sn3Cl8 after structural relaxation from Alexandria. Energies are from PBE.

a b c (Å): 8.139 8.139 7.218
angles (deg): 90.44 90.44 62.95
Atoms (fractional coordinates):
Ga (0.214, 0.214, 0.003)
Ga (0.786, 0.786, 0.997)
Sn (0.243, 0.757, 0.500)
Sn (0.500, 0.500, 0.000)
Sn (0.757, 0.243, 0.500)
Cl (0.110, 0.110, 0.349)
Cl (0.144, 0.620, 0.170)
Cl (0.380, 0.856, 0.830)
Cl (0.384, 0.384, 0.672)
Cl (0.616, 0.616, 0.328)
Cl (0.620, 0.144, 0.170)
Cl (0.856, 0.380, 0.830)
Cl (0.890, 0.890, 0.651)

Crystal system: monoclinic
Total magnetic moment in μB per cell: 0.00
Space-group type: C2/m (12)
Energy relative to the elements, uncorrected in eV per atom: -0.890

Here is Ho6AuS4 after structural relaxation from Alexandria. Energies are from PBE.

a b c (Å): 6.706 6.706 20.019
angles (deg): 90.00 90.00 146.41
Atoms (fractional coordinates):
Ho (0.000, 0.000, 0.000)
Ho (0.000, 0.000, 0.500)
Ho (0.167, 0.833, 0.750)
Ho (0.273, 0.727, 0.086)
Ho (0.273, 0.727, 0.414)
Ho (0.452, 0.548, 0.663)
Ho (0.452, 0.548, 0.837)
Ho (0.548, 0.452, 0.163)
Ho (0.548, 0.452, 0.337)
Ho (0.727, 0.273, 0.586)
Ho (0.727, 0.273, 0.914)
Ho (0.833, 0.167, 0.250)
Au (0.161, 0.839, 0.250)
Au (0.839, 0.161, 0.750)
S (0.090, 0.910, 0.623)
S (0.090, 0.910, 0.877)
S (0.361, 0.639, 0.539)
S (0.361, 0.639, 0.961)
S (0.639, 0.361, 0.039)
S (0.639, 0.361, 0.461)
S (0.910, 0.090, 0.123)
S (0.910, 0.090, 0.377)

Crystal system: orthorhombic
Total magnetic moment in μB per cell: 0.00
Space-group type: Cmcm (63)
Energy relative to the elements, uncorrected in eV per atom: -1.630